(1)
# U2Bi2S7, relaxed, DFT PBE
# D(E_F) = 19.0 states/eV/cell
# E = -6.2223 eV per atom
# formation energy from raw total energies = -0.838 eV/atom
data_U2Bi2S7
_chemical_formula_sum 'U4 Bi4 S14'
_space_group_name_H-M_alt 'I m m 2'
_space_group_IT_number 44
_cell_length_a 3.990
_cell_length_b 15.272
_cell_length_c 8.560
_cell_angle_alpha 90.00
_cell_angle_beta 90.00
_cell_angle_gamma 90.00
loop_
_space_group_symop_operation_xyz
'x,y,z'
'-x,-y,z'
'-x,y,z'
'x,-y,z'
'x+1/2,y+1/2,z+1/2'
'-x+1/2,-y+1/2,z+1/2'
'-x+1/2,y+1/2,z+1/2'
'x+1/2,-y+1/2,z+1/2'
loop_
_atom_site_label
_atom_site_type_symbol
_atom_site_fract_x
_atom_site_fract_y
_atom_site_fract_z
U1 U 0.000 0.000 0.000
U2 U 0.000 0.500 0.045
Bi1 Bi 0.000 0.235 0.737
S1 S 0.000 0.119 0.498
S2 S 0.000 0.182 0.087
S3 S 0.000 0.405 0.324
S4 S 0.000 0.500 0.715



(2)
# Pr8SmMg2, relaxed, DFT PBE
# polymorph energy (0 for the lowest one) = 1.08 eV per formula unit
# D(E_F) = 28.4 states/eV/cell
# E = -4.0921 eV per atom
# energy of formation = 0.10 eV/atom
data_Pr8SmMg2
_chemical_formula_sum 'Pr16 Sm2 Mg4'
_space_group_name_H-M_alt 'C 1 2/m 1'
_space_group_IT_number 12
_cell_length_a 9.076
_cell_length_b 16.033
_cell_length_c 5.934
_cell_angle_alpha 90.00
_cell_angle_beta 117.75
_cell_angle_gamma 90.00
loop_
_space_group_symop_operation_xyz
'x,y,z'
'-x,-y,-z'
'-x,y,-z'
'x,-y,z'
'x+1/2,y+1/2,z'
'-x+1/2,-y+1/2,-z'
'-x+1/2,y+1/2,-z'
'x+1/2,-y+1/2,z'
loop_
_atom_site_label
_atom_site_type_symbol
_atom_site_fract_x
_atom_site_fract_y
_atom_site_fract_z
Pr1 Pr 0.000 0.211 0.000
Pr2 Pr 0.090 0.500 0.794
Pr3 Pr 0.211 0.114 0.640
Sm1 Sm 0.000 0.000 0.000
Mg1 Mg 0.000 0.307 0.500



(3)
# Li2MgRuC, relaxed, DFT PBE
# polymorph energy (0 for the lowest one) = 0.00 eV per formula unit
# D(E_F) = 3.1 states/eV/cell
# E = -4.6930 eV per atom
# energy of formation = 0.09 eV/atom
data_Li2MgRuC
_chemical_formula_sum 'Li2 Mg1 Ru1 C1'
_space_group_name_H-M_alt 'P 4/m m m'
_space_group_IT_number 123
_space_group_name_Hall '-P 4 2'
_cell_length_a 4.073
_cell_length_b 4.073
_cell_length_c 3.972
_cell_angle_alpha 90.00
_cell_angle_beta 90.00
_cell_angle_gamma 90.00
loop_
_atom_site_label
_atom_site_type_symbol
_atom_site_fract_x
_atom_site_fract_y
_atom_site_fract_z
Li1 Li 0.000 0.500 0.000
Mg1 Mg 0.000 0.000 0.500
Ru1 Ru 0.500 0.500 0.500
C1 C 0.500 0.500 0.000



(4)
# PaTaPt, relaxed, DFT PBE
# polymorph energy (0 for the lowest one) = 0.15 eV per formula unit
# D(E_F) = 38.1 states/eV/cell
# E = -9.2328 eV per atom
# energy of formation = -0.10 eV/atom
data_PaTaPt
_chemical_formula_sum 'Pa8 Ta8 Pt8'
_space_group_name_H-M_alt 'F m m m'
_space_group_IT_number 69
_space_group_name_Hall '-F 2 2'
_cell_length_a 5.707
_cell_length_b 8.114
_cell_length_c 10.649
_cell_angle_alpha 90.00
_cell_angle_beta 90.00
_cell_angle_gamma 90.00
loop_
_atom_site_label
_atom_site_type_symbol
_atom_site_fract_x
_atom_site_fract_y
_atom_site_fract_z
Pa1 Pa 0.000 0.163 0.000
Ta1 Ta 0.250 0.250 0.250
Pt1 Pt 0.000 0.000 0.372



(5)
# Mn2NiAg, relaxed, DFT PBE
# polymorph energy (0 for the lowest one) = 0.38 eV per formula unit
# D(E_F) = 4.5 states/eV/cell
# E = -6.4999 eV per atom
# energy of formation = 0.24 eV/atom
data_Mn2NiAg
_chemical_formula_sum 'Mn4 Ni2 Ag2'
_space_group_name_H-M_alt 'I 4/m m m'
_space_group_IT_number 139
_space_group_name_Hall '-I 4 2'
_cell_length_a 4.069
_cell_length_b 4.069
_cell_length_c 7.021
_cell_angle_alpha 90.00
_cell_angle_beta 90.00
_cell_angle_gamma 90.00
loop_
_atom_site_label
_atom_site_type_symbol
_atom_site_fract_x
_atom_site_fract_y
_atom_site_fract_z
Mn1 Mn 0.000 0.500 0.250
Ni1 Ni 0.000 0.000 0.000
Ag1 Ag 0.000 0.000 0.500



(6)
# ZnAs2Se, relaxed, DFT PBE
# polymorph energy (0 for the lowest one) = 0.00 eV per formula unit
# D(E_F) = 0.6 states/eV/cell
# E = -3.6788 eV per atom
# formation energy from raw total energies = -0.164 eV/atom
data_ZnAs2Se
_chemical_formula_sum 'Zn3 As6 Se3'
_space_group_name_H-M_alt 'R 3 m'
_space_group_IT_number 160
_space_group_name_Hall 'R 3 -2"'
_cell_length_a 3.8808
_cell_length_b 3.8808
_cell_length_c 23.4651
_cell_angle_alpha 90.00
_cell_angle_beta 90.00
_cell_angle_gamma 120.00
loop_
_atom_site_label
_atom_site_type_symbol
_atom_site_fract_x
_atom_site_fract_y
_atom_site_fract_z
Zn1 Zn 0.0000 0.0000 0.0000
As1 As 0.0000 0.0000 0.5086
As2 As 0.0000 0.0000 0.7859
Se1 Se 0.0000 0.0000 0.3021



(7)
# Mg2Sc2Tc, relaxed, DFT PBE
# D(E_F) = 7.2 states/eV/cell
# E = -5.4252 eV per atom
# energy of formation = -0.18 eV/atom
data_Mg2Sc2Tc
_chemical_formula_sum 'Mg4 Sc4 Tc2'
_space_group_name_H-M_alt 'I 4/m m m'
_space_group_IT_number 139
_space_group_name_Hall '-I 4 2'
_cell_length_a 3.329
_cell_length_b 3.329
_cell_length_c 18.890
_cell_angle_alpha 90.00
_cell_angle_beta 90.00
_cell_angle_gamma 90.00
loop_
_atom_site_label
_atom_site_type_symbol
_atom_site_fract_x
_atom_site_fract_y
_atom_site_fract_z
Mg1 Mg 0.000 0.000 0.197
Sc1 Sc 0.000 0.000 0.421
Tc1 Tc 0.000 0.000 0.000



(8)
# K4IrRh, relaxed, DFT PBE
# D(E_F) = 38.3 states/eV/cell
# E = -2.1661 eV per atom
# energy of formation = 1.27 eV/atom
data_K4IrRh
_chemical_formula_sum 'K16 Ir4 Rh4'
_space_group_name_H-M_alt 'F -4 3 m'
_space_group_IT_number 216
_space_group_name_Hall 'F -4 2 3'
_cell_length_a 8.772
_cell_length_b 8.772
_cell_length_c 8.772
_cell_angle_alpha 90.00
_cell_angle_beta 90.00
_cell_angle_gamma 90.00
loop_
_atom_site_label
_atom_site_type_symbol
_atom_site_fract_x
_atom_site_fract_y
_atom_site_fract_z
K1 K 0.125 0.125 0.125
Ir1 Ir 0.000 0.000 0.500
Rh1 Rh 0.250 0.250 0.750



(9)
# BeCdW2, relaxed, DFT PBE
# polymorph energy (0 for the lowest one) = 1.25 eV per formula unit
# D(E_F) = 2.3 states/eV/cell
# E = -6.9721 eV per atom
# energy of formation = 0.66 eV/atom
data_BeCdW2
_chemical_formula_sum 'Be4 Cd4 W8'
_space_group_name_H-M_alt 'F -4 3 m'
_space_group_IT_number 216
_space_group_name_Hall 'F -4 2 3'
_cell_length_a 6.310
_cell_length_b 6.310
_cell_length_c 6.310
_cell_angle_alpha 90.00
_cell_angle_beta 90.00
_cell_angle_gamma 90.00
loop_
_atom_site_label
_atom_site_type_symbol
_atom_site_fract_x
_atom_site_fract_y
_atom_site_fract_z
Be1 Be 0.000 0.000 0.000
Cd1 Cd 0.250 0.250 0.250
W1 W 0.000 0.000 0.500
W2 W 0.250 0.250 0.750



(10)
# HfAl2MoP, relaxed, DFT PBE
# D(E_F) = 3.5 states/eV/cell
# E = -5.4872 eV per atom
# energy of formation = 1.25 eV/atom
data_HfAl2MoP
_chemical_formula_sum 'Hf1 Al2 Mo1 P1'
_space_group_name_H-M_alt 'P 4/m m m'
_space_group_IT_number 123
_space_group_name_Hall '-P 4 2'
_cell_length_a 5.136
_cell_length_b 5.136
_cell_length_c 4.829
_cell_angle_alpha 90.00
_cell_angle_beta 90.00
_cell_angle_gamma 90.00
loop_
_atom_site_label
_atom_site_type_symbol
_atom_site_fract_x
_atom_site_fract_y
_atom_site_fract_z
Hf1 Hf 0.000 0.000 0.000
Al1 Al 0.000 0.500 0.000
Mo1 Mo 0.500 0.500 0.500
P1 P 0.000 0.000 0.500



(11)
# InSbPtI2, relaxed, DFT PBE
# polymorph energy (0 for the lowest one) = 0.00 eV per formula unit
# D(E_F) = 3.6 states/eV/cell
# E = -3.1317 eV per atom
# formation energy from raw total energies = 0.069 eV/atom
data_InSbPtI2
_chemical_formula_sum 'In1 Sb1 Pt1 I2'
_space_group_name_H-M_alt 'P 4/m m m'
_space_group_IT_number 123
_space_group_name_Hall '-P 4 2'
_cell_length_a 5.750
_cell_length_b 5.750
_cell_length_c 5.139
_cell_angle_alpha 90.00
_cell_angle_beta 90.00
_cell_angle_gamma 90.00
loop_
_atom_site_label
_atom_site_type_symbol
_atom_site_fract_x
_atom_site_fract_y
_atom_site_fract_z
In1 In 0.000 0.000 0.000
Sb1 Sb 0.500 0.500 0.000
Pt1 Pt 0.500 0.500 0.500
I1 I 0.000 0.500 0.500



(12)
# Li4Pd2Pb, relaxed, DFT PBE
# polymorph energy (0 for the lowest one) = 0.00 eV per formula unit
# D(E_F) = 8.7 states/eV/cell
# E = -3.4712 eV per atom
# energy of formation = -0.36 eV/atom
data_Li4Pd2Pb
_chemical_formula_sum 'Li16 Pd8 Pb4'
_space_group_name_H-M_alt 'C 1 2/c 1'
_space_group_IT_number 15
_cell_length_a 12.589
_cell_length_b 5.007
_cell_length_c 7.258
_cell_angle_alpha 90.00
_cell_angle_beta 92.83
_cell_angle_gamma 90.00
loop_
_space_group_symop_operation_xyz
'x,y,z'
'-x,-y,-z'
'-x,y,-z+1/2'
'x,-y,z+1/2'
'x+1/2,y+1/2,z'
'-x+1/2,-y+1/2,-z'
'-x+1/2,y+1/2,-z+1/2'
'x+1/2,-y+1/2,z+1/2'
loop_
_atom_site_label
_atom_site_type_symbol
_atom_site_fract_x
_atom_site_fract_y
_atom_site_fract_z
Li1 Li 0.091 0.151 0.110
Li2 Li 0.159 0.345 0.462
Pd1 Pd 0.211 0.168 0.818
Pb1 Pb 0.000 0.354 0.750



Which value of D(E_F) does entry 10 give? 3.5 states/eV/cell



What is the D(E_F) in the ninth record? 2.3 states/eV/cell



Look up the E of the tenth one. -5.4872 eV per atom



What is the formula in the seventh record? Mg2Sc2Tc